[1]
! MgScN | Alexandria | PBE-GGA | optimized geometry; values from VASP
! Formation energy from raw total energies ... -0.51 eV/atom
! M_tot ... 0.0 μB per formula unit
! ρ ... 3.05 g/cm³
&SYSTEM
  ibrav = 0, nat = 6, ntyp = 3
/
ATOMIC_SPECIES
Sc 44.96 Sc.upf
Mg 24.30 Mg.upf
N 14.01 N.upf
ATOMIC_POSITIONS crystal
Sc 0.338 0.838 0.133
Sc 0.838 0.338 0.867
Mg 0.842 0.842 0.500
Mg 0.342 0.342 0.500
N 0.830 0.330 0.140
N 0.330 0.830 0.860
CELL_PARAMETERS angstrom
-1.697 -1.613 2.532
2.963 -1.366 1.118
1.061 6.026 4.550

***

[2]
! MnPt2W | Alexandria | PBE-GGA | optimized geometry; values from VASP
! M_tot ... 0.0 μB per formula unit
! Formation energy ... 0.343 eV per atom
! ρ ... 16.62 g/cm³
&SYSTEM
  ibrav = 0, nat = 8, ntyp = 3
/
ATOMIC_SPECIES
Pt 195.08 Pt.upf
Mn 54.94 Mn.upf
W 183.84 W.upf
ATOMIC_POSITIONS crystal
Pt 0.375 0.384 0.750
Pt 0.134 0.625 0.250
Pt 0.616 0.125 0.250
Pt 0.875 0.866 0.750
Mn 0.250 0.750 0.500
Mn 0.500 0.500 0.000
W 0.750 0.250 0.500
W 0.000 0.000 0.000
CELL_PARAMETERS angstrom
-2.121 2.291 -2.026
0.501 -2.172 -2.981
-8.163 -4.745 -0.237

***

[3]
! TiBMo | Alexandria | PBE-GGA | optimized geometry; values from VASP
! M_tot ... 0.2 μB per formula unit
! Formation energy ... -0.074 eV per atom
! ρ ... 6.67 g/cm³
&SYSTEM
  ibrav = 0, nat = 3, ntyp = 3
/
ATOMIC_SPECIES
Ti 47.87 Ti.upf
B 10.81 B.upf
Mo 95.94 Mo.upf
ATOMIC_POSITIONS crystal
Ti 0.992 0.992 0.984
B 0.311 0.311 0.622
Mo 0.697 0.697 0.394
CELL_PARAMETERS angstrom
3.068 0.000 0.000
0.000 3.068 0.000
-1.534 -1.534 4.086

***

[4]
! YZnCd4 | Alexandria | PBE-GGA | optimized geometry; values from VASP
! M_tot ... 0.0 μB per formula unit
! Formation energy ... -0.103 eV per atom
! ρ ... 7.20 g/cm³
&SYSTEM
  ibrav = 0, nat = 12, ntyp = 3
/
ATOMIC_SPECIES
Zn 65.41 Zn.upf
Cd 112.41 Cd.upf
Y 88.91 Y.upf
ATOMIC_POSITIONS crystal
Zn 0.269 0.504 0.008
Zn 0.731 0.496 0.992
Cd 0.832 0.328 0.656
Cd 0.168 0.672 0.344
Cd 0.000 0.816 0.000
Cd 0.628 0.896 0.251
Cd 0.372 0.644 0.749
Cd 0.000 0.184 0.000
Cd 0.372 0.104 0.749
Cd 0.628 0.356 0.251
Y 0.796 0.798 0.597
Y 0.204 0.202 0.403
CELL_PARAMETERS angstrom
4.922 -0.001 -1.221
-0.602 6.627 -2.432
-0.414 -0.571 8.865

***

[5]
! ZrAsI | Alexandria | PBE-GGA | optimized geometry; values from VASP
! Formation energy from raw total energies ... -0.85 eV/atom
! M_tot ... 0.0 μB per formula unit
! ρ ... 5.30 g/cm³
&SYSTEM
  ibrav = 0, nat = 12, ntyp = 3
/
ATOMIC_SPECIES
Zr 91.22 Zr.upf
I 126.90 I.upf
As 74.92 As.upf
ATOMIC_POSITIONS crystal
Zr 0.251 0.141 0.394
Zr 0.249 0.641 0.606
Zr 0.751 0.359 0.394
Zr 0.749 0.859 0.606
I 0.580 0.893 0.821
I 0.420 0.107 0.179
I 0.920 0.393 0.179
I 0.080 0.607 0.821
As 0.413 0.651 0.401
As 0.913 0.849 0.401
As 0.087 0.151 0.599
As 0.587 0.349 0.599
CELL_PARAMETERS angstrom
6.961 0.000 -0.304
0.000 5.067 0.000
-3.483 0.000 10.563

***

[6]
! SmTm2Zn2Ga2 | Alexandria | PBE-GGA | optimized geometry; values from VASP
! M_tot ... 0.0 μB per formula unit
! Formation energy ... -0.396 eV per atom
! ρ ... 8.09 g/cm³
&SYSTEM
  ibrav = 0, nat = 7, ntyp = 4
/
ATOMIC_SPECIES
Zn 65.41 Zn.upf
Tm 168.93 Tm.upf
Ga 69.72 Ga.upf
Sm 150.36 Sm.upf
ATOMIC_POSITIONS crystal
Zn 0.403 0.403 0.791
Zn 0.597 0.597 0.209
Tm 0.872 0.872 0.384
Tm 0.128 0.128 0.616
Ga 0.742 0.742 0.774
Ga 0.258 0.258 0.226
Sm 0.000 0.000 0.000
CELL_PARAMETERS angstrom
4.453 0.000 0.000
2.226 3.856 0.000
2.226 1.285 9.066

***

[7]
! Dy4Zn3Ga16 | Alexandria | PBE-GGA | optimized geometry; values from VASP
! M_tot ... 0.0 μB per formula unit
! Formation energy ... -0.327 eV per atom
! ρ ... 7.36 g/cm³
&SYSTEM
  ibrav = 0, nat = 23, ntyp = 3
/
ATOMIC_SPECIES
Dy 162.50 Dy.upf
Ga 69.72 Ga.upf
Zn 65.41 Zn.upf
ATOMIC_POSITIONS crystal
Dy 0.500 0.000 0.812
Dy 0.000 0.500 0.812
Dy 0.500 0.000 0.188
Dy 0.000 0.500 0.188
Ga 0.258 0.742 0.624
Ga 0.710 0.290 0.000
Ga 0.290 0.710 0.000
Ga 0.710 0.710 0.000
Ga 0.258 0.742 0.376
Ga 0.000 0.000 0.238
Ga 0.258 0.258 0.376
Ga 0.742 0.742 0.624
Ga 0.500 0.500 0.804
Ga 0.258 0.258 0.624
Ga 0.500 0.500 0.196
Ga 0.742 0.742 0.376
Ga 0.000 0.000 0.762
Ga 0.742 0.258 0.376
Ga 0.742 0.258 0.624
Ga 0.290 0.290 0.000
Zn 0.000 0.000 0.000
Zn 0.500 0.000 0.500
Zn 0.000 0.500 0.500
CELL_PARAMETERS angstrom
-5.661 -1.574 2.147
-0.136 -4.868 -3.927
4.805 -6.506 7.900

***

[8]
! Np3Pa2TaN6 | Alexandria | PBE-GGA | optimized geometry; values from VASP
! Formation energy from raw total energies ... -1.29 eV/atom
! M_tot ... 10.0 μB per formula unit
! ρ ... 14.23 g/cm³
&SYSTEM
  ibrav = 0, nat = 12, ntyp = 4
/
ATOMIC_SPECIES
Np 237.00 Np.upf
Pa 231.04 Pa.upf
N 14.01 N.upf
Ta 180.95 Ta.upf
ATOMIC_POSITIONS crystal
Np 0.832 0.168 0.500
Np 0.500 0.500 0.500
Np 0.168 0.832 0.500
Pa 0.334 0.666 0.000
Pa 0.666 0.334 0.000
N 0.767 0.767 0.239
N 0.391 0.078 0.234
N 0.922 0.609 0.766
N 0.078 0.391 0.234
N 0.609 0.922 0.766
N 0.233 0.233 0.761
Ta 0.000 0.000 0.000
CELL_PARAMETERS angstrom
-3.944 0.386 4.385
-1.637 -2.140 -5.260
3.207 -4.531 1.954

***

[9]
! TbPm4Si4 | Alexandria | PBE-GGA | optimized geometry; values from VASP
! Formation energy from raw total energies ... -0.48 eV/atom
! M_tot ... 0.0 μB per formula unit
! ρ ... 5.86 g/cm³
&SYSTEM
  ibrav = 0, nat = 18, ntyp = 3
/
ATOMIC_SPECIES
Si 28.09 Si.upf
Pm 145.00 Pm.upf
Tb 158.93 Tb.upf
ATOMIC_POSITIONS crystal
Si 0.646 0.762 0.368
Si 0.854 0.262 0.868
Si 0.146 0.868 0.738
Si 0.354 0.368 0.238
Si 0.354 0.632 0.762
Si 0.646 0.238 0.632
Si 0.146 0.132 0.262
Si 0.854 0.738 0.132
Pm 0.634 0.920 0.694
Pm 0.634 0.080 0.306
Pm 0.366 0.694 0.080
Pm 0.866 0.420 0.194
Pm 0.134 0.194 0.580
Pm 0.134 0.806 0.420
Pm 0.366 0.306 0.920
Pm 0.866 0.580 0.806
Tb 0.000 0.000 0.000
Tb 0.500 0.500 0.500
CELL_PARAMETERS angstrom
-3.435 -4.349 2.289
4.442 0.583 7.774
-5.862 6.149 2.888

***

[10]
! Pm4Eu2Ru | Alexandria | PBE-GGA | optimized geometry; values from VASP
! M_tot ... 15.1 μB per formula unit
! Formation energy ... 0.127 eV per atom
! ρ ... 5.99 g/cm³
&SYSTEM
  ibrav = 0, nat = 7, ntyp = 3
/
ATOMIC_SPECIES
Ru 101.07 Ru.upf
Pm 145.00 Pm.upf
Eu 151.96 Eu.upf
ATOMIC_POSITIONS crystal
Ru 0.000 0.000 0.000
Pm 0.500 0.000 0.000
Pm 0.000 0.500 0.000
Pm 0.849 0.849 0.698
Pm 0.151 0.151 0.302
Eu 0.649 0.649 0.298
Eu 0.351 0.351 0.702
CELL_PARAMETERS angstrom
-0.038 3.123 -4.522
-2.416 -4.071 -2.792
-6.897 3.714 5.963

***

[11]
! Cs2YSbSe4 | Alexandria | PBE-GGA | optimized geometry; values from VASP
! Formation energy from raw total energies ... -1.12 eV/atom
! M_tot ... 0.0 μB per formula unit
! ρ ... 4.94 g/cm³
&SYSTEM
  ibrav = 0, nat = 16, ntyp = 4
/
ATOMIC_SPECIES
Se 78.96 Se.upf
Cs 132.91 Cs.upf
Y 88.91 Y.upf
Sb 121.76 Sb.upf
ATOMIC_POSITIONS crystal
Se 0.228 0.272 0.038
Se 0.813 0.273 0.043
Se 0.228 0.272 0.462
Se 0.227 0.687 0.457
Se 0.773 0.313 0.543
Se 0.772 0.728 0.962
Se 0.772 0.728 0.538
Se 0.187 0.727 0.957
Cs 0.500 0.500 0.000
Cs 0.500 0.000 0.500
Cs 0.500 0.000 0.000
Cs 0.000 0.000 0.500
Y 0.000 0.500 0.000
Y 0.000 0.500 0.500
Sb 0.500 0.500 0.500
Sb 0.000 0.000 0.000
CELL_PARAMETERS angstrom
9.097 0.004 0.013
-0.002 9.097 0.013
-4.425 -4.428 6.419